# PBE NpCo3As2, relaxed
data_NpCo3As2
_chemical_formula_sum 'Np6 Co18 As12'
_symmetry_space_group_name_H-M 'C 1 2/m 1'
_symmetry_Int_Tables_number 12
_cell_length_a 15.5566
_cell_length_b 3.7893
_cell_length_c 9.3540
_cell_angle_alpha 90.00
_cell_angle_beta 107.52
_cell_angle_gamma 90.00
loop_
_symmetry_equiv_pos_as_xyz
'x,y,z'
'-x,-y,-z'
'-x,y,-z'
'x,-y,z'
'x+1/2,y+1/2,z'
'-x+1/2,-y+1/2,-z'
'-x+1/2,y+1/2,-z'
'x+1/2,-y+1/2,z'
loop_
_atom_site_label
_atom_site_type_symbol
_atom_site_fract_x
_atom_site_fract_y
_atom_site_fract_z
Np1 Np 0.0000 0.0000 0.0000
Np2 Np 0.1597 0.0000 0.7005
Co1 Co 0.0000 0.5000 0.5000
Co2 Co 0.0444 0.0000 0.3378
Co3 Co 0.1158 0.5000 0.1975
Co4 Co 0.1811 0.5000 0.9722
Co5 Co 0.2152 0.0000 0.3916
As1 As 0.0407 0.5000 0.7806
As2 As 0.1397 0.5000 0.4547
As3 As 0.1974 0.0000 0.1297
# Fermi-level density of states, states/eV per cell: 73.19
# Formation energy from the elements, eV per atom: -0.3844
# Crystal system: monoclinic
# Raw total energy, eV per cell: -275.2